Here is crystalline ZnNiBiS2 at its relaxed geometry from Alexandria via LeMat-Bulk. Energies are from PBE-GGA.

Cell lengths 4.580, 4.629, 4.580 Å; angles 90.00, 90.00, 90.00 degrees
Positions (direct):
Zn 0.000 0.500 0.000
Ni 0.000 0.000 0.000
S 0.000 0.000 0.500
S 0.500 0.000 0.000
Bi 0.500 0.500 0.500

electronic total energy = -18.25 eV per cell